Entry 1:
ZnIN2 | meta-GGA SCAN | PBEsol geometry

Cell: 6.067 6.067 6.067 Å, 35.17 35.17 35.17°
Atoms (fractional coordinates):
Zn 0.000 0.000 0.000
I 0.500 0.500 0.500
N 0.107 0.107 0.107
N 0.893 0.893 0.893

DFT total energy: -63.52 eV for the cell shown
ΔE_f (raw): 1329 meV/atom

***

Entry 2:
ZnI2N | meta-GGA SCAN | PBEsol geometry

Cell: 7.979 7.979 7.979 Å, 140.73 140.73 56.75°
Atoms (fractional coordinates):
Zn 0.000 0.000 0.000
Zn 0.750 0.250 0.500
I 0.184 0.625 0.059
I 0.375 0.434 0.559
I 0.566 0.125 0.941
I 0.875 0.816 0.441
N 0.250 0.750 0.500
N 0.500 0.500 0.000

DFT total energy: -183.33 eV for the cell shown
ΔE_f (raw): 1156 meV/atom

***

Entry 3:
ZrZnI2N | meta-GGA SCAN | PBEsol geometry

Cell: 5.841 5.841 3.945 Å, 90.00 90.00 90.00°
Atoms (fractional coordinates):
Zr 0.000 0.000 0.000
Zn 0.500 0.500 0.500
I 0.000 0.500 0.000
I 0.500 0.000 0.000
N 0.000 0.000 0.500

DFT total energy: -127.95 eV for the cell shown
ΔE_f (raw): -192 meV/atom

***

Entry 4:
ZrI2N | meta-GGA SCAN | PBEsol geometry

Cell: 7.011 7.011 7.011 Å, 127.45 127.45 77.52°
Atoms (fractional coordinates):
Zr 0.000 0.000 0.000
Zr 0.750 0.250 0.500
I 0.172 0.125 0.547
I 0.375 0.828 0.953
I 0.578 0.625 0.453
I 0.875 0.422 0.047
N 0.250 0.750 0.500
N 0.500 0.500 0.000

excess energy over the best structure of this formula in the dataset: 438 meV per atom
DFT total energy: -218.07 eV for the cell shown
ΔE_f (raw): 1110 meV/atom

***

Entry 5:
ZrIN | meta-GGA SCAN | PBEsol geometry

Cell: 10.812 10.812 10.812 Å, 19.68 19.68 19.68°
Atoms (fractional coordinates):
Zr 0.207 0.207 0.207
Zr 0.793 0.793 0.793
I 0.391 0.391 0.391
I 0.609 0.609 0.609
N 0.139 0.139 0.139
N 0.861 0.861 0.861

DFT total energy: -163.07 eV for the cell shown
ΔE_f (raw): -1600 meV/atom

***

Entry 6:
ZrIN | meta-GGA SCAN | PBEsol geometry

Cell: 3.719 4.099 9.509 Å, 90.00 90.00 90.00°
Atoms (fractional coordinates):
Zr 0.250 0.250 0.089
Zr 0.750 0.750 0.911
I 0.250 0.750 0.670
I 0.750 0.250 0.330
N 0.250 0.750 0.025
N 0.750 0.250 0.975

DFT total energy: -163.29 eV for the cell shown
ΔE_f (raw): -1639 meV/atom

***

| no. | size of the total moment (μB/f.u.) |
| --- | --- |
| 1 | 0.0 |
| 2 | 0.0 |
| 3 | 0.6 |
| 4 | 0.0 |
| 5 | 0.0 |
| 6 | 0.0 |